Material: La2ZnIO
Method: DFT, PBE-GGA
State: relaxed

The space group is P4/mmm (No. 123) and the conventional cell measures 5.636, 5.636 and 5.125 Å, with angles of 90.00, 90.00 and 90.00 degrees. The distinct sites, in fractional coordinates, are La at (0.000, 0.500, 0.000), Zn at (0.000, 0.000, 0.000), I at (0.000, 0.000, 0.500) and O at (0.500, 0.500, 0.500).

The raw formation energy is 2.5 kcal/mol of atoms. The density of states at the Fermi level is 4.1 states/eV/f.u.